1.
16
Lattice="7.678 0.000 0.000 0.000 7.678 0.000 0.000 0.000 7.678" Properties=species:S:1:pos:R:3 comment="SrScSb2 (PBE, optimized geometry)" polymorph_energy_mev_per_atom=697 raw_formation_energy_ev_per_atom=-0.156 dos_ef_per_ev_atom=1.156 pbc="T T T"
Sr 0.000 0.000 0.000
Sr 0.000 3.839 3.839
Sr 3.839 0.000 3.839
Sr 3.839 3.839 0.000
Sc 1.919 1.919 1.919
Sc 1.919 5.758 5.758
Sc 5.758 1.919 5.758
Sc 5.758 5.758 1.919
Sb 0.000 0.000 3.839
Sb 0.000 3.839 0.000
Sb 1.919 1.919 5.758
Sb 1.919 5.758 1.919
Sb 3.839 0.000 0.000
Sb 3.839 3.839 3.839
Sb 5.758 1.919 1.919
Sb 5.758 5.758 5.758

***

2.
11
Lattice="-2.634 4.671 5.292 2.634 -4.671 5.292 2.634 4.671 -5.292" Properties=species:S:1:pos:R:3 comment="Zr7Tl3Zn (PBE, optimized geometry)" dft_energy_ev_per_cell=-66.1 dos_ef_per_ev_atom=1.350 pbc="T T T"
Zr 0.000 0.000 0.000
Zr 2.634 -1.599 2.777
Zr 2.634 2.763 0.000
Zr 2.634 1.599 2.777
Zr 0.000 3.072 2.515
Zr 0.000 1.909 5.292
Zr 0.000 6.271 2.515
Tl 0.000 0.000 2.902
Tl 0.000 4.671 0.000
Tl 0.000 0.000 7.682
Zn 2.634 0.000 0.000

***

3.
8
Lattice="3.626 0.000 0.000 0.000 4.814 0.000 0.000 0.000 10.265" Properties=species:S:1:pos:R:3 comment="Tl2MoSe (PBE, optimized geometry)" polymorph_energy_mev_per_atom=637 raw_formation_energy_ev_per_atom=0.713 dos_ef_per_ev_atom=1.177 pbc="T T T"
Tl 0.000 0.000 2.363
Tl 0.000 0.000 7.902
Tl 1.813 2.407 2.363
Tl 1.813 2.407 7.902
Mo 0.000 2.407 0.000
Mo 1.813 0.000 0.000
Se 0.000 2.407 5.133
Se 1.813 0.000 5.133

***

4.
10
Lattice="3.733 0.000 0.000 0.000 3.733 0.000 0.000 0.000 20.080" Properties=species:S:1:pos:R:3 comment="NdEr5Mg4 (PBE, optimized geometry)" dft_energy_ev_per_cell=-34.4 dos_ef_per_ev_atom=1.451 pbc="T T T"
Nd 0.000 0.000 0.000
Er 1.867 1.867 2.447
Er 1.867 1.867 6.259
Er 1.867 1.867 10.040
Er 1.867 1.867 13.821
Er 1.867 1.867 17.633
Mg 0.000 0.000 4.366
Mg 0.000 0.000 8.140
Mg 0.000 0.000 11.940
Mg 0.000 0.000 15.714

***

5.
18
Lattice="4.346 -4.181 0.000 4.346 4.181 0.000 0.000 0.000 9.776" Properties=species:S:1:pos:R:3 comment="Li4P4Pb (PBE, optimized geometry)" dft_energy_ev_per_cell=-70.8 dos_ef_per_ev_atom=0.458 pbc="T T T"
Li 2.928 2.574 7.332
Li 2.458 0.000 0.000
Li 2.458 0.000 4.888
Li 5.764 2.574 7.332
Li 2.928 -2.574 2.444
Li 6.234 0.000 0.000
Li 6.234 0.000 4.888
Li 5.764 -2.574 2.444
P 4.346 3.172 5.273
P 4.346 3.172 9.391
P 3.259 0.103 7.332
P 3.259 -0.103 2.444
P 5.433 0.103 7.332
P 5.433 -0.103 2.444
P 4.346 -3.172 0.385
P 4.346 -3.172 4.503
Pb 4.346 2.530 2.444
Pb 4.346 -2.530 7.332

***

6.
8
Lattice="4.993 0.000 0.000 0.000 5.017 0.000 0.000 0.000 7.794" Properties=species:S:1:pos:R:3 comment="SbAs2Pb (PBE, optimized geometry)" polymorph_energy_mev_per_atom=229 raw_formation_energy_ev_per_atom=0.262 dos_ef_per_ev_atom=0.713 pbc="T T T"
Sb 0.000 0.000 0.000
Sb 2.497 2.509 0.000
As 0.000 2.509 1.768
As 0.000 2.509 6.026
As 2.497 0.000 1.768
As 2.497 0.000 6.026
Pb 0.000 0.000 3.897
Pb 2.497 2.509 3.897

***

7.
10
Lattice="0.000 4.312 4.312 4.312 0.000 4.312 4.312 4.312 0.000" Properties=species:S:1:pos:R:3 comment="Rb2AgIrO6 (PBE, optimized geometry)" raw_formation_energy_ev_per_atom=-0.701 dos_ef_per_ev_atom=0.270 pbc="T T T"
Rb 2.156 2.156 2.156
Rb 6.468 6.468 6.468
Ag 0.000 0.000 0.000
Ir 4.312 4.312 4.312
O 4.312 4.312 2.435
O 4.312 2.435 4.312
O 6.189 4.312 4.312
O 2.435 4.312 4.312
O 4.312 6.189 4.312
O 4.312 4.312 6.189

***

8.
12
Lattice="10.594 0.000 0.000 0.000 2.707 0.000 -1.611 0.000 6.621" Properties=species:S:1:pos:R:3 comment="PtW2 (PBE, optimized geometry)" polymorph_energy_mev_per_atom=0 dos_ef_per_ev_atom=0.573 pbc="T T T"
Pt -0.190 0.000 2.030
Pt 3.876 1.354 4.591
Pt 5.107 1.354 2.030
Pt 9.173 0.000 4.591
W 1.415 1.354 0.155
W 1.004 1.354 4.236
W 2.682 0.000 2.385
W 2.271 0.000 6.466
W 6.712 0.000 0.155
W 6.301 0.000 4.236
W 7.979 1.354 2.385
W 7.568 1.354 6.466